Record 1
Material: Tl2InAg
Method: DFT, meta-GGA SCAN
State: PBEsol geometry

Properties
ΔE_f   0.11 eV per atom
Crystal system   monoclinic
Energy relative to the lowest polymorph listed for this composition   47 meV/atom

Cell lengths 3.456, 4.700, 6.202 Å; angles 90.00, 105.54, 90.00 degrees
Space group Pm (No. 6)
Asymmetric unit:
1 Tl 0.000 0.000 0.000 [1 per cell]
2 Tl 0.338 0.500 0.671 [1 per cell]
3 In 0.733 0.000 0.458 [1 per cell]
4 Ag 0.584 0.500 0.181 [1 per cell]



Record 2
Material: MgMnIN2
Method: DFT, meta-GGA SCAN
State: PBEsol geometry

Properties
Raw formation energy   0.628 eV per atom
Crystal system   tetragonal

Cell lengths 3.744, 3.744, 5.356 Å; angles 90.00, 90.00, 90.00 degrees
Space group P4/mmm (No. 123)
Asymmetric unit:
1 Mg 0.000 0.000 0.000 [1 per cell]
2 Mn 0.500 0.500 0.500 [1 per cell]
3 I 0.500 0.500 0.000 [1 per cell]
4 N 0.000 0.500 0.500 [2 per cell]



Record 3
Material: SrSiNi2
Method: DFT, meta-GGA SCAN
State: PBEsol geometry

Properties
Raw formation energy   -0.019 eV per atom
Crystal system   tetragonal

Cell lengths 2.939, 2.939, 7.064 Å; angles 90.00, 90.00, 90.00 degrees
Space group P4/mmm (No. 123)
Asymmetric unit:
1 Sr 0.000 0.000 0.000 [1 per cell]
2 Si 0.000 0.000 0.500 [1 per cell]
3 Ni 0.500 0.500 0.328 [2 per cell]



Record 4
Material: MgZr2Ir
Method: DFT, meta-GGA SCAN
State: PBEsol geometry

Properties
ΔE_f   -0.38 eV per atom
Crystal system   tetragonal

Cell lengths 4.028, 4.028, 9.123 Å; angles 90.00, 90.00, 90.00 degrees
Space group I-4m2 (No. 119)
Asymmetric unit:
1 Mg 0.000 0.000 0.000 [2 per cell]
2 Zr 0.000 0.000 0.500 [2 per cell]
3 Zr 0.000 0.500 0.250 [2 per cell]
4 Ir 0.000 0.500 0.750 [2 per cell]



Record 5
Material: Cu2PtSe
Method: DFT, meta-GGA SCAN
State: PBEsol geometry

Properties
Raw formation energy   0.259 eV per atom
Crystal system   trigonal

Cell lengths 2.8535, 2.8535, 24.1800 Å; angles 90.00, 90.00, 120.00 degrees
Space group R3m (No. 160, hexagonal axes)
Asymmetric unit:
1 Cu 0.0000 0.0000 0.0000 [3 per cell]
2 Cu 0.0000 0.0000 0.2570 [3 per cell]
3 Pt 0.0000 0.0000 0.7505 [3 per cell]
4 Se 0.0000 0.0000 0.5073 [3 per cell]



Record 6
Material: BaC3
Method: DFT, meta-GGA SCAN
State: PBEsol geometry

Properties
ΔE_f   0.85 eV per atom
Crystal system   orthorhombic
Energy relative to the lowest polymorph listed for this composition   0 meV/atom

Cell lengths 6.725, 10.480, 5.602 Å; angles 90.00, 90.00, 90.00 degrees
Space group Cmcm (No. 63)
Asymmetric unit:
1 Ba 0.000 0.232 0.250 [4 per cell]
2 C 0.000 0.034 0.750 [4 per cell]
3 C 0.106 0.152 0.750 [8 per cell]



Record 7
Material: Li2BPt3
Method: DFT, meta-GGA SCAN
State: PBEsol geometry

Properties
ΔE_f   -0.66 eV per atom
Crystal system   cubic

Cell lengths 6.756, 6.756, 6.756 Å; angles 90.00, 90.00, 90.00 degrees
Space group P4_332 (No. 212)
Asymmetric unit:
1 Li 0.054 0.446 0.554 [8 per cell]
2 B 0.125 0.875 0.375 [4 per cell]
3 Pt 0.060 0.625 0.190 [12 per cell]



Record 8
Material: KAl2BiRu
Method: DFT, meta-GGA SCAN
State: PBEsol geometry

Properties
ΔE_f   0.47 eV per atom
Crystal system   tetragonal

Cell lengths 4.775, 4.775, 5.365 Å; angles 90.00, 90.00, 90.00 degrees
Space group P4/mmm (No. 123)
Asymmetric unit:
1 K 0.000 0.000 0.000 [1 per cell]
2 Al 0.000 0.500 0.500 [2 per cell]
3 Bi 0.500 0.500 0.000 [1 per cell]
4 Ru 0.000 0.000 0.500 [1 per cell]



Record 9
Material: Be3CrRh
Method: DFT, meta-GGA SCAN
State: PBEsol geometry

Properties
ΔE_f   0.24 eV per atom
Crystal system   cubic

Cell lengths 4.082, 4.082, 4.082 Å; angles 90.00, 90.00, 90.00 degrees
Space group Pm-3m (No. 221)
Asymmetric unit:
1 Be 0.000 0.000 0.500 [3 per cell]
2 Cr 0.500 0.500 0.500 [1 per cell]
3 Rh 0.000 0.000 0.000 [1 per cell]



Record 10
Material: In2HS
Method: DFT, meta-GGA SCAN
State: PBEsol geometry

Properties
E_tot   -78.7 eV per formula unit
Crystal system   cubic

Cell lengths 6.656, 6.656, 6.656 Å; angles 90.00, 90.00, 90.00 degrees
Space group Fm-3m (No. 225)
Asymmetric unit:
1 In 0.250 0.250 0.250 [8 per cell]
2 H 0.000 0.000 0.000 [4 per cell]
3 S 0.000 0.000 0.500 [4 per cell]



Record 11
Material: Ca2YP
Method: DFT, meta-GGA SCAN
State: PBEsol geometry

Properties
ΔE_f   -0.50 eV per atom
Crystal system   trigonal

Cell lengths 3.9595, 3.9595, 29.0857 Å; angles 90.00, 90.00, 120.00 degrees
Space group R-3m (No. 166, hexagonal axes)
Asymmetric unit:
1 Ca 0.0000 0.0000 0.2189 [6 per cell]
2 Y 0.0000 0.0000 0.0000 [3 per cell]
3 P 0.0000 0.0000 0.5000 [3 per cell]



Record 12
Material: MgPd2I
Method: DFT, meta-GGA SCAN
State: PBEsol geometry

Properties
Raw formation energy   -0.083 eV per atom
Crystal system   tetragonal

Cell lengths 4.156, 4.156, 18.200 Å; angles 90.00, 90.00, 90.00 degrees
Space group I-42d (No. 122)
Asymmetric unit:
1 Mg 0.000 0.000 0.000 [4 per cell]
2 Pd 0.242 0.250 0.125 [8 per cell]
3 I 0.000 0.000 0.500 [4 per cell]